1.
Here is an optimized crystal structure of Li3CuAg from Alexandria. Energies are from GGA-PBE.

a = 4.5865 Å, b = 4.5865 Å, c = 4.5865 Å
α = 90.00°, β = 90.00°, γ = 90.00°
Closest atoms and distances in Å follow each position.
Positions (direct):
Li1 0.0000 0.0000 0.5000  2 Cu 2.29
Li2 0.0000 0.5000 0.0000  2 Cu 2.29
Li3 0.5000 0.0000 0.0000  2 Cu 2.29
Cu1 0.0000 0.0000 0.0000  6 Li 2.29
Ag1 0.5000 0.5000 0.5000  12 Li 3.24

Calculated values
The energy of formation comes out at 0.2222 eV/atom. The crystal system is cubic. Its size of the total moment is 0.00 μB/f.u. The total energy is -0.0851 hartree per atom. The density of states at the Fermi level comes out at 2.5 states/eV/f.u. The value obtained for the energy above the most stable polymorph in this dataset is 324 meV per atom.



2.
Here is an optimized crystal structure of Cd2W from Alexandria. Energies are from GGA-PBE.

a = 4.8418 Å, b = 4.8418 Å, c = 5.7273 Å
α = 90.00°, β = 90.00°, γ = 120.00°
Closest atoms and distances in Å follow each position.
Positions (direct):
Cd1 0.0000 0.0000 0.0000  8 Cd 2.86-3.14, 6 W 3.14
Cd2 0.0000 0.0000 0.5000  8 Cd 2.86-3.14, 6 W 3.14
Cd3 0.3333 0.6667 0.2500  5 W 2.80-2.86
Cd4 0.6667 0.3333 0.7500  5 W 2.80-2.86
W1 0.3333 0.6667 0.7500  5 Cd 2.80-2.86
W2 0.6667 0.3333 0.2500  5 Cd 2.80-2.86

Calculated values
The energy of formation comes out at 1.0937 eV/atom. The crystal system is hexagonal. Its size of the total moment is 1.27 μB/f.u. The total energy is -0.1409 hartree per atom. The density of states at the Fermi level comes out at 2.6 states/eV/f.u. The value obtained for the energy above the most stable polymorph in this dataset is 651 meV per atom.



3.
Here is an optimized crystal structure of CeTm3N4 from Alexandria. Energies are from GGA-PBE.

a = 5.9642 Å, b = 6.8863 Å, c = 5.9642 Å
α = 90.00°, β = 109.50°, γ = 90.00°
Closest atoms and distances in Å follow each position.
Positions (direct):
Ce1 0.0000 0.1277 0.2500  6 N 2.43-2.47
Ce2 0.0000 0.8723 0.7500  6 N 2.43-2.47
Tm1 0.0000 0.3775 0.7500  6 N 2.42-2.44
Tm2 0.0000 0.6225 0.2500  6 N 2.42-2.44
Tm3 0.5000 0.1281 0.7500  6 N 2.42-2.45
Tm4 0.5000 0.3777 0.2500  6 N 2.41-2.43
Tm5 0.5000 0.6223 0.7500  6 N 2.41-2.43
Tm6 0.5000 0.8719 0.2500  6 N 2.42-2.45
N1 0.2515 0.3765 0.5007  5 Tm 2.41-2.44, 1 Ce 2.43
N2 0.2515 0.6235 0.0007  5 Tm 2.41-2.44, 1 Ce 2.43
N3 0.2532 0.1274 0.0003  4 Tm 2.42-2.45, 2 Ce 2.45-2.47
N4 0.2532 0.8726 0.5003  4 Tm 2.42-2.45, 2 Ce 2.45-2.47
N5 0.7468 0.1274 0.4997  4 Tm 2.42-2.45, 2 Ce 2.45-2.47
N6 0.7468 0.8726 0.9997  4 Tm 2.42-2.45, 2 Ce 2.45-2.47
N7 0.7485 0.3765 0.9993  5 Tm 2.41-2.44, 1 Ce 2.43
N8 0.7485 0.6235 0.4993  5 Tm 2.41-2.44, 1 Ce 2.43

Calculated values
The raw formation energy is -1.7268 eV/atom. The crystal system is monoclinic. Its size of the total moment is 0.15 μB/f.u. The total energy is -0.3053 hartree per atom. The density of states at the Fermi level comes out at 2.4 states/eV/f.u.



Please write out number 1 again, unchanged.
Here is an optimized crystal structure of Li3CuAg from Alexandria. Energies are from GGA-PBE.

a = 4.5865 Å, b = 4.5865 Å, c = 4.5865 Å
α = 90.00°, β = 90.00°, γ = 90.00°
Closest atoms and distances in Å follow each position.
Positions (direct):
Li1 0.0000 0.0000 0.5000  2 Cu 2.29
Li2 0.0000 0.5000 0.0000  2 Cu 2.29
Li3 0.5000 0.0000 0.0000  2 Cu 2.29
Cu1 0.0000 0.0000 0.0000  6 Li 2.29
Ag1 0.5000 0.5000 0.5000  12 Li 3.24

Calculated values
The energy of formation comes out at 0.2222 eV/atom. The crystal system is cubic. Its size of the total moment is 0.00 μB/f.u. The total energy is -0.0851 hartree per atom. The density of states at the Fermi level comes out at 2.5 states/eV/f.u. The value obtained for the energy above the most stable polymorph in this dataset is 324 meV per atom.



Q: size of the total moment of number 3 (CeTm3N4)?
A: 0.15 μB/f.u.